No. 1
LaMgFe: relaxed, GGA-PBE.

The structure belongs to space group F-43m (No. 216); the cell edges are 6.6414, 6.6414 and 6.6414 Å and the angles 90.00°, 90.00° and 90.00°. The distinct sites, in fractional coordinates, are La at (0.0000, 0.0000, 0.0000), Mg at (0.0000, 0.0000, 0.5000) and Fe at (0.2500, 0.2500, 0.7500).

The value obtained for the formation energy is 1.136 eV per formula unit. As for the energy: -4.62 eV per atom. For the density of states at the Fermi level, the calculation gives 28.0 states/eV per cell.



No. 2
NaDySn2: relaxed, GGA-PBE.

The structure belongs to space group P4/mmm (No. 123); the cell edges are 4.7670, 4.7670 and 4.5117 Å and the angles 90.00°, 90.00° and 90.00°. The distinct sites, in fractional coordinates, are Na at (0.0000, 0.0000, 0.0000), Dy at (0.5000, 0.5000, 0.0000) and Sn at (0.0000, 0.5000, 0.5000).

The value obtained for the formation energy is -1.764 eV per formula unit. As for the energy: -3.92 eV per atom. For the density of states at the Fermi level, the calculation gives 1.4 states/eV per cell.



No. 3
Nd6Co2PdI3: relaxed, GGA-PBE.

The structure belongs to space group C2/m (No. 12); the cell edges are 20.1238, 4.1342 and 9.4276 Å and the angles 90.00°, 112.80° and 90.00°. The distinct sites, in fractional coordinates, are Nd at (0.0232, 0.0000, 0.2301), Nd at (0.1597, 0.5000, 0.1359), Nd at (0.1827, 0.5000, 0.5487), Co at (0.1682, 0.0000, 0.3378), Pd at (0.0000, 0.5000, 0.0000), I at (0.0000, 0.5000, 0.5000) and I at (0.1647, 0.0000, 0.8347).

The uncorrected formation energy comes out at -687 meV per atom. As for the energy: -5.08 eV per atom. For the density of states at the Fermi level, the calculation gives 11.8 states/eV per cell.